# Tl2CdGeTe4

A PBEsol-optimized structure of Tl2CdGeTe4 (meta-GGA SCAN, the Alexandria database).

abc: 6.8372 6.8372 6.8372
angles: 105.18 105.18 118.44
Closest atoms and distances in Å follow each position.
Element x y z (fractional)
Tl: 0.5000 0.0000 0.5000  8 Te 3.44-3.60, 2 Tl 3.50
Cd: 0.5000 0.5000 0.0000  4 Te 2.84
Ge: 0.0000 0.0000 0.0000  4 Te 2.63
Te: 0.4059 0.0484 0.0000  1 Ge 2.63, 1 Cd 2.84
Te: 0.0484 0.4059 0.0000  1 Ge 2.63, 1 Cd 2.84
Tl: 0.0000 0.5000 0.5000  8 Te 3.44-3.60, 2 Tl 3.50
Te: 0.5941 0.5941 0.6425  1 Ge 2.63, 1 Cd 2.84
Te: 0.9516 0.9516 0.3575  1 Ge 2.63, 1 Cd 2.84

Output
The total energy is -43.173 eV/atom. The value obtained for the mass density is 7.6 g/cm3. The space group is I-42m. The uncorrected formation energy comes out at -0.27 eV per atom.

---

# BaMnAu

A PBEsol-optimized structure of BaMnAu (meta-GGA SCAN, the Alexandria database).

abc: 5.2013 5.2013 5.2013
angles: 60.00 60.00 60.00
Closest atoms and distances in Å follow each position.
Element x y z (fractional)
Mn: 0.0000 0.0000 0.0000  4 Ba 3.19
Au: 0.5000 0.5000 0.5000  4 Ba 3.19
Ba: 0.7500 0.7500 0.7500  4 Mn 3.19, 4 Au 3.19

Output
The total energy is -41.945 eV/atom. The energy of formation from the pure elements comes out at 0.38 eV per atom. The value obtained for the mass density is 6.5 g/cm3. The space group is F-43m.

---

# LiSb4Br

A PBEsol-optimized structure of LiSb4Br (meta-GGA SCAN, the Alexandria database).

abc: 6.2887 6.2887 6.2887
angles: 60.00 60.00 60.00
Closest atoms and distances in Å follow each position.
Element x y z (fractional)
Br: 0.7500 0.7500 0.7500  12 Sb 3.66, 4 Li 3.85
Li: 0.0000 0.0000 0.0000  12 Sb 3.72, 4 Br 3.85
Sb: 0.3847 0.8459 0.3847  3 Sb 2.90
Sb: 0.3847 0.3847 0.8459  3 Sb 2.90
Sb: 0.8459 0.3847 0.3847  3 Sb 2.90
Sb: 0.3847 0.3847 0.3847  3 Sb 2.90

Output
The total energy is -28.521 eV/atom. The value obtained for the mass density is 5.4 g/cm3. The space group is F-43m. The uncorrected formation energy comes out at -0.04 eV per atom.